# TlCo2Pt, optimized geometry, DFT PBE-GGA
data_TlCo2Pt
_cell_length_a 4.021
_cell_length_b 4.021
_cell_length_c 7.405
_cell_angle_alpha 90.00
_cell_angle_beta 90.00
_cell_angle_gamma 90.00
_symmetry_space_group_name_H-M 'I 4/m m m'
_symmetry_Int_Tables_number 139
_symmetry_space_group_name_Hall '-I 4 2'
loop_
_atom_site_label
_atom_site_fract_x
_atom_site_fract_y
_atom_site_fract_z
Tl1 0.000 0.000 0.000
Co1 0.000 0.500 0.250
Pt1 0.000 0.000 0.500
# Energy above the most stable polymorph in this dataset = 0.19 eV per formula unit
# DFT formation energy = 303 meV per atom
# Electronic total energy = -0.1967 Ha/atom
# Magnetic moment = 3.029 μB per formula unit
# DOS(E_F) = 12.55 states/eV per cell